1.
{"formula": "Ba2YGeAs", "functional": "PBE-GGA", "state": "optimized geometry", "cell": [[6.456, 0.000, 0.000], [0.000, 5.238, 0.000], [0.000, 0.000, 6.456]], "species": ["Y", "As", "Ge", "Ba", "Ba"], "fractional_positions": [[0.000, 0.000, 0.000], [0.500, 0.500, 0.500], [0.000, 0.500, 0.000], [0.000, 0.000, 0.500], [0.500, 0.000, 0.000]], "final_energy_ev_per_atom": -3.408, "dos_at_fermi_per_ev_atom": 1.56, "formation_energy_mev_per_atom": 507, "rho_g_cm3": 3.89}

2.
{"formula": "Ba5As2H2", "functional": "PBE-GGA", "state": "optimized geometry", "cell": [[7.605, 0.000, 0.000], [0.000, 7.242, 0.000], [-3.803, -3.621, 11.041]], "species": ["Ba", "Ba", "Ba", "Ba", "Ba", "Ba", "Ba", "Ba", "Ba", "Ba", "As", "As", "As", "As", "H", "H", "H", "H"], "fractional_positions": [[0.242, 0.715, 0.976], [0.758, 0.739, 0.024], [0.235, 0.215, 0.976], [0.765, 0.239, 0.024], [0.219, 0.111, 0.301], [0.781, 0.811, 0.699], [0.582, 0.611, 0.301], [0.418, 0.311, 0.699], [0.189, 0.695, 0.500], [0.811, 0.195, 0.500], [0.122, 0.586, 0.204], [0.878, 0.382, 0.796], [0.582, 0.086, 0.204], [0.418, 0.882, 0.796], [0.000, 0.973, 0.000], [0.500, 0.473, 0.000], [0.141, 0.324, 0.500], [0.859, 0.824, 0.500]], "final_energy_ev_per_atom": -3.565, "dos_at_fermi_per_ev_atom": 0.29, "rho_g_cm3": 4.58}

3.
{"formula": "Ba5As3H", "functional": "PBE-GGA", "state": "optimized geometry", "cell": [[8.166, 0.000, -3.853], [-1.818, 7.961, -3.853], [-0.313, -0.393, 9.914]], "species": ["Ba", "Ba", "Ba", "Ba", "Ba", "Ba", "Ba", "Ba", "Ba", "Ba", "As", "As", "As", "As", "As", "As", "H", "H"], "fractional_positions": [[0.500, 0.500, 0.000], [0.000, 0.000, 0.000], [0.204, 0.017, 0.721], [0.517, 0.704, 0.721], [0.704, 0.204, 0.721], [0.017, 0.517, 0.721], [0.796, 0.983, 0.279], [0.483, 0.296, 0.279], [0.296, 0.796, 0.279], [0.983, 0.483, 0.279], [0.250, 0.250, 0.500], [0.750, 0.750, 0.500], [0.152, 0.348, 0.000], [0.848, 0.652, 0.000], [0.652, 0.152, 0.000], [0.348, 0.848, 0.000], [0.250, 0.750, 0.500], [0.750, 0.250, 0.500]], "final_energy_ev_per_atom": -3.958, "rho_g_cm3": 4.89}

4.
{"formula": "BaAsH3", "functional": "PBE-GGA", "state": "optimized geometry", "cell": [[-1.910, 3.668, 0.421], [-3.216, -1.421, -2.218], [-1.813, -1.345, 3.491]], "species": ["H", "H", "H", "As", "Ba"], "fractional_positions": [[0.000, 0.500, 0.000], [0.000, 0.000, 0.500], [0.500, 0.000, 0.000], [0.000, 0.000, 0.000], [0.500, 0.500, 0.500]], "final_energy_ev_per_atom": -3.325, "dos_at_fermi_per_ev_atom": 0.32, "rho_g_cm3": 4.98}

5.
{"formula": "Ba5As2H", "functional": "PBE-GGA", "state": "optimized geometry", "cell": [[-5.484, -4.850, -2.529], [3.041, 0.268, -7.119], [4.047, -1.461, 5.887]], "species": ["Ba", "Ba", "Ba", "Ba", "Ba", "As", "As", "H"], "fractional_positions": [[0.748, 0.248, 0.995], [0.248, 0.248, 0.995], [0.748, 0.748, 0.995], [0.248, 0.748, 0.995], [0.757, 0.757, 0.514], [0.254, 0.754, 0.508], [0.754, 0.254, 0.508], [0.021, 0.021, 0.043]], "final_energy_ev_per_atom": -3.258, "dos_at_fermi_per_ev_atom": 0.66, "rho_g_cm3": 4.81}

6.
{"formula": "Ba3AsH2", "functional": "PBE-GGA", "state": "optimized geometry", "cell": [[4.771, 0.000, 0.000], [0.000, 6.767, -0.546], [-2.385, -2.365, 12.127]], "species": ["Ba", "Ba", "Ba", "Ba", "Ba", "Ba", "As", "As", "H", "H", "H", "H"], "fractional_positions": [[0.228, 0.212, 0.457], [0.056, 0.824, 0.112], [0.395, 0.639, 0.789], [0.772, 0.788, 0.543], [0.605, 0.361, 0.211], [0.944, 0.176, 0.888], [0.351, 0.106, 0.701], [0.649, 0.894, 0.299], [0.287, 0.594, 0.574], [0.713, 0.406, 0.426], [0.936, 0.763, 0.873], [0.064, 0.237, 0.127]], "final_energy_ev_per_atom": -3.497, "dos_at_fermi_per_ev_atom": 0.18, "rho_g_cm3": 4.21}